! BeTc3As PBEsol relaxed; values from VASP
! space group: Pm-3m (221)
! energy of formation from the pure elements: 1.45 eV per atom
&SYSTEM
  ibrav = 0, nat = 5, ntyp = 3
/
ATOMIC_SPECIES
Tc 98.00 Tc.upf
Be 9.01 Be.upf
As 74.92 As.upf
ATOMIC_POSITIONS angstrom
Tc 2.222 0.000 0.000
Tc 0.000 0.000 2.222
Tc 0.000 2.222 0.000
Be 2.222 2.222 2.222
As 0.000 0.000 0.000
CELL_PARAMETERS angstrom
4.444 0.000 0.000
0.000 4.444 0.000
0.000 0.000 4.444

---

! BeTcAs2 PBEsol relaxed; values from VASP
! space group: R-3m (166)
! energy of formation from the pure elements: 0.07 eV per atom
&SYSTEM
  ibrav = 0, nat = 4, ntyp = 3
/
ATOMIC_SPECIES
As 74.92 As.upf
Tc 98.00 Tc.upf
Be 9.01 Be.upf
ATOMIC_POSITIONS angstrom
As -0.691 -0.993 2.229
As -2.140 -2.695 6.521
Tc 0.000 0.000 0.000
Be -1.415 -1.844 4.375
CELL_PARAMETERS angstrom
-0.362 1.478 2.695
-2.788 0.119 1.337
0.319 -5.285 4.718

---

! Be2TeAs PBEsol relaxed; values from VASP
! space group: Cm (8)
! energy relative to the lowest polymorph listed for this composition: 48.8 meV per atom
! ΔE_f (raw): -0.020 eV/atom
&SYSTEM
  ibrav = 0, nat = 4, ntyp = 3
/
ATOMIC_SPECIES
Be 9.01 Be.upf
Te 127.60 Te.upf
As 74.92 As.upf
ATOMIC_POSITIONS angstrom
Be -2.151 2.471 -1.824
Be -4.438 5.652 -0.349
Te -2.377 4.245 -0.115
As -2.548 0.501 -0.789
CELL_PARAMETERS angstrom
-1.319 2.227 -2.485
-3.776 -0.224 -0.787
-1.702 5.092 2.877

---

Q: Which E values were calculated for the entries above? A: -7.13; -6.30; -4.18, in eV/atom.